ZrCoTe2I | PBE | relaxed

Uncorrected energy in eV/cell: -21.078
Formation energy without anion corrections in kcal/mol of atoms: 11.114
Size of the total moment in μB/cell: 3.02
SG: P4/mmm, No. 123

Cell lengths 5.607, 5.607, 5.771 Å; angles 90.00, 90.00, 90.00 degrees
Element x y z (fractional)
Zr1 0.000 0.000 0.000
Co1 0.500 0.500 0.500
Te1 0.000 0.500 0.000
Te2 0.500 0.000 0.000
I1 0.000 0.000 0.500

---

Zr3GaTe3 | PBE | relaxed

Uncorrected energy in eV/cell: -173.975
Formation energy without anion corrections in kcal/mol of atoms: -17.781
Size of the total moment in μB/cell: 0.00
SG: I4_132, No. 214

Cell lengths 9.839, 9.839, 9.839 Å; angles 109.47, 109.47, 109.47 degrees
Element x y z (fractional)
Zr1 0.009 0.019 0.259
Zr2 0.009 0.491 0.750
Zr3 0.019 0.259 0.009
Zr4 0.241 0.259 0.750
Zr5 0.241 0.481 0.491
Zr6 0.259 0.009 0.019
Zr7 0.259 0.750 0.241
Zr8 0.481 0.491 0.241
Zr9 0.491 0.241 0.481
Zr10 0.491 0.750 0.009
Zr11 0.750 0.009 0.491
Zr12 0.750 0.241 0.259
Ga1 0.000 0.250 0.500
Ga2 0.250 0.250 0.250
Ga3 0.250 0.500 0.000
Ga4 0.500 0.000 0.250
Te1 0.250 0.757 0.743
Te2 0.250 0.993 0.507
Te3 0.507 0.250 0.993
Te4 0.507 0.757 0.515
Te5 0.515 0.507 0.757
Te6 0.743 0.250 0.757
Te7 0.743 0.993 0.985
Te8 0.757 0.515 0.507
Te9 0.757 0.743 0.250
Te10 0.985 0.743 0.993
Te11 0.993 0.507 0.250
Te12 0.993 0.985 0.743

---

Ca2NbV | PBE | relaxed

Uncorrected energy in eV/cell: -18.880
Size of the total moment in μB/cell: 5.06
SG: Fm-3m, No. 225
Energy of formation in eV/atom: 1.078

Cell lengths 5.244, 5.244, 5.244 Å; angles 60.00, 60.00, 60.00 degrees
Element x y z (fractional)
Ca1 0.250 0.250 0.250
Ca2 0.750 0.750 0.750
Nb1 0.000 0.000 0.000
V1 0.500 0.500 0.500

---

- Which of these has the highest uncorrected energy?
  Ca2NbV

---

- Which of these has the lowest uncorrected energy?
  Zr3GaTe3

---

- Among the records above, which one has the highest size of the total moment?
  Ca2NbV